No. 1
Computed, not measured: a geometry-optimized MgTiTeN2 structure at the GGA-PBE level of DFT.

Calculated values
Its polymorph energy (0 for the lowest one) is 0.000 eV per atom. The space group is No. 123. As for the formation energy from raw total energies: 0.042 eV per atom.

Cell lengths 3.9496, 3.9496, 5.8501 Å; angles 90.00, 90.00, 90.00 degrees
Last column: nearest neighbours and their distance in Å.
Sites, in units of the cell vectors:
Mg1 0.0000 0.0000 0.0000  4 Te 2.79
Ti1 0.5000 0.5000 0.5000  4 N 1.97
Te1 0.5000 0.5000 0.0000  4 Mg 2.79, 2 Ti 2.93
N1 0.0000 0.5000 0.5000  2 Ti 1.97
N2 0.5000 0.0000 0.5000  2 Ti 1.97

---

No. 2
Computed, not measured: a geometry-optimized BaP3Pt structure at the GGA-PBE level of DFT.

Calculated values
Its polymorph energy (0 for the lowest one) is 2.120 eV per atom. The space group is No. 221. The value obtained for the energy of formation from the pure elements is 10.47 eV/f.u.

Cell lengths 5.5095, 5.5095, 5.5095 Å; angles 90.00, 90.00, 90.00 degrees
Last column: nearest neighbours and their distance in Å.
Sites, in units of the cell vectors:
Ba1 0.0000 0.0000 0.0000  6 P 2.75
P1 0.0000 0.0000 0.5000  2 Ba 2.75
P2 0.0000 0.5000 0.0000  2 Ba 2.75
P3 0.5000 0.0000 0.0000  2 Ba 2.75
Pt1 0.5000 0.5000 0.5000  12 P 3.90

---

No. 3
Computed, not measured: a geometry-optimized Tb8Ho3Sc2 structure at the GGA-PBE level of DFT.

Calculated values
The space group is No. 12. The value obtained for the energy of formation from the pure elements is 2.99 eV/f.u.

Cell lengths 10.4539, 10.4539, 5.5743 Å; angles 90.02, 90.02, 42.97 degrees
Last column: nearest neighbours and their distance in Å.
Sites, in units of the cell vectors:
Tb1 0.0972 0.6800 0.9998  1 Ho 3.11, 3 Tb 3.19-3.45, 2 Sc 3.29-3.36
Tb2 0.1759 0.1759 0.5005  2 Sc 3.23, 4 Tb 3.45
Tb3 0.3200 0.9028 0.0002  1 Ho 3.11, 3 Tb 3.19-3.45, 2 Sc 3.29-3.36
Tb4 0.3656 0.3656 0.5001  4 Ho 3.42-3.82, 2 Sc 3.47, 5 Tb 3.60-3.69
Tb5 0.6344 0.6344 0.4999  4 Ho 3.42-3.82, 2 Sc 3.47, 5 Tb 3.60-3.69
Tb6 0.6800 0.0972 0.9998  1 Ho 3.11, 3 Tb 3.19-3.45, 2 Sc 3.29-3.36
Tb7 0.8241 0.8241 0.4995  2 Sc 3.23, 4 Tb 3.45
Tb8 0.9028 0.3200 0.0002  1 Ho 3.11, 3 Tb 3.19-3.45, 2 Sc 3.29-3.36
Ho1 0.2130 0.7870 0.5000  3 Ho 3.26-3.55, 6 Tb 3.42-3.53
Ho2 0.5000 0.5000 0.0000  4 Tb 3.11
Ho3 0.7870 0.2130 0.5000  3 Ho 3.26-3.55, 6 Tb 3.42-3.53
Sc1 0.2593 0.2593 0.0005  8 Tb 3.23-3.47
Sc2 0.7407 0.7407 0.9995  8 Tb 3.23-3.47

---

No. 4
Computed, not measured: a geometry-optimized Y4Er11Tm9 structure at the GGA-PBE level of DFT.

Calculated values
The space group is No. 65. The value obtained for the energy of formation from the pure elements is 1.51 eV/f.u.

Cell lengths 14.5510, 14.5510, 3.4877 Å; angles 90.00, 90.00, 91.57 degrees
Last column: nearest neighbours and their distance in Å.
Sites, in units of the cell vectors:
Y1 0.0529 0.2221 0.0000  2 Tm 3.30-3.39, 6 Er 3.43-3.62, 3 Y 3.49-3.53
Y2 0.2221 0.0529 0.0000  2 Tm 3.30-3.39, 6 Er 3.43-3.62, 3 Y 3.49-3.53
Y3 0.7779 0.9471 0.0000  2 Tm 3.30-3.39, 6 Er 3.43-3.62, 3 Y 3.49-3.53
Y4 0.9471 0.7779 0.0000  2 Tm 3.30-3.39, 6 Er 3.43-3.62, 3 Y 3.49-3.53
Er1 0.0860 0.4229 0.5000  4 Er 3.41-3.52, 2 Y 3.43, 6 Tm 3.51-3.57
Er2 0.1565 0.8435 0.5000  3 Er 3.49-3.61, 6 Tm 3.58-3.70, 4 Y 3.62
Er3 0.2605 0.2605 0.5000  4 Tm 3.47, 4 Er 3.49-3.52, 4 Y 3.52
Er4 0.3295 0.6705 0.5000  4 Er 3.49-3.61, 8 Tm 3.49-3.51
Er5 0.4229 0.0860 0.5000  4 Er 3.41-3.52, 2 Y 3.43, 6 Tm 3.51-3.57
Er6 0.5000 0.5000 0.5000  4 Er 3.49-3.56, 8 Tm 3.49
Er7 0.5771 0.9140 0.5000  4 Er 3.41-3.52, 2 Y 3.43, 6 Tm 3.51-3.57
Er8 0.6705 0.3295 0.5000  4 Er 3.49-3.61, 8 Tm 3.49-3.51
Er9 0.7395 0.7395 0.5000  4 Tm 3.47, 4 Er 3.49-3.52, 4 Y 3.52
Er10 0.8435 0.1565 0.5000  3 Er 3.49-3.61, 6 Tm 3.58-3.70, 4 Y 3.62
Er11 0.9140 0.5771 0.5000  4 Er 3.41-3.52, 2 Y 3.43, 6 Tm 3.51-3.57
Tm1 0.0000 0.0000 0.0000  4 Y 3.30, 2 Tm 3.49
Tm2 0.1229 0.6301 0.0000  1 Y 3.39, 3 Tm 3.49-3.51, 8 Er 3.51-3.58
Tm3 0.2942 0.4649 0.0000  8 Er 3.47-3.53, 4 Tm 3.49-3.56
Tm4 0.3699 0.8771 0.0000  1 Y 3.39, 3 Tm 3.49-3.51, 8 Er 3.51-3.58
Tm5 0.4649 0.2942 0.0000  8 Er 3.47-3.53, 4 Tm 3.49-3.56
Tm6 0.5351 0.7058 0.0000  8 Er 3.47-3.53, 4 Tm 3.49-3.56
Tm7 0.6301 0.1229 0.0000  1 Y 3.39, 3 Tm 3.49-3.51, 8 Er 3.51-3.58
Tm8 0.7058 0.5351 0.0000  8 Er 3.47-3.53, 4 Tm 3.49-3.56
Tm9 0.8771 0.3699 0.0000  1 Y 3.39, 3 Tm 3.49-3.51, 8 Er 3.51-3.58

---

No. 5
Computed, not measured: a geometry-optimized Na3Ti3NbO8 structure at the GGA-PBE level of DFT.

Calculated values
The space group is No. 12. As for the formation energy from raw total energies: -2.428 eV per atom.

Cell lengths 5.9705, 5.9705, 6.6460 Å; angles 116.80, 116.80, 59.98 degrees
Last column: nearest neighbours and their distance in Å.
Sites, in units of the cell vectors:
Na1 0.0000 0.0000 0.0000  6 O 2.41
Na2 0.0000 0.5000 0.0000  6 O 2.41
Na3 0.5000 0.0000 0.0000  6 O 2.41
Ti1 0.0000 0.5000 0.5000  6 O 2.07-2.08
Ti2 0.5000 0.0000 0.5000  6 O 2.07-2.08
Ti3 0.5000 0.5000 0.5000  6 O 2.07-2.08
Nb1 0.0000 0.0000 0.5000  6 O 2.10-2.11
O1 0.2377 0.2377 0.7066  2 Ti 2.08, 1 Nb 2.10
O2 0.2377 0.7301 0.7066  2 Ti 2.07-2.08, 1 Nb 2.11
O3 0.2662 0.2662 0.2975  3 Ti 2.07
O4 0.2699 0.7623 0.2934  2 Ti 2.07-2.08, 1 Nb 2.11
O5 0.7301 0.2377 0.7066  2 Ti 2.07-2.08, 1 Nb 2.11
O6 0.7338 0.7338 0.7025  3 Ti 2.07
O7 0.7623 0.2699 0.2934  2 Ti 2.07-2.08, 1 Nb 2.11
O8 0.7623 0.7623 0.2934  2 Ti 2.08, 1 Nb 2.10

---

No. 6
Computed, not measured: a geometry-optimized ZrCuW2 structure at the GGA-PBE level of DFT.

Calculated values
Its polymorph energy (0 for the lowest one) is 0.366 eV per atom. The space group is No. 166. The value obtained for the energy of formation from the pure elements is 1.95 eV/f.u.

Cell lengths 9.9709, 9.9709, 9.9709 Å; angles 16.20, 16.20, 16.20 degrees
Last column: nearest neighbours and their distance in Å.
Sites, in units of the cell vectors:
Zr1 0.0000 0.0000 0.0000  6 Zr 2.81, 6 W 3.15
Cu1 0.5000 0.5000 0.5000  6 W 2.75, 6 Cu 2.81
W1 0.2420 0.2420 0.2420  3 Cu 2.75, 6 W 2.81
W2 0.7580 0.7580 0.7580  3 Cu 2.75, 6 W 2.81